An optimized crystal structure of Sr2TaFe, computed with PBE-GGA.

Cell and atoms, written as CIF:
```
data_Sr2TaFe
_chemical_formula_sum 'Sr4 Ta2 Fe2'
_symmetry_space_group_name_H-M 'I 4/m m m'
_symmetry_Int_Tables_number 139
_symmetry_space_group_name_Hall '-I 4 2'
_cell_length_a 4.365
_cell_length_b 4.365
_cell_length_c 10.607
_cell_angle_alpha 90.00
_cell_angle_beta 90.00
_cell_angle_gamma 90.00
loop_
_atom_site_label
_atom_site_type_symbol
_atom_site_fract_x
_atom_site_fract_y
_atom_site_fract_z
Sr1 Sr 0.000 0.500 0.250
Ta1 Ta 0.000 0.000 0.000
Fe1 Fe 0.000 0.000 0.500
```

Polymorph energy (0 for the lowest one) ... 2.98 eV per formula unit
Magnetic moment ... 0.62 μB/f.u.
N(E_F) ... 1.102 states/eV per atom
Calculated total energy ... -18.9 eV/f.u.
E_form ... 1.190 eV/atom